## BaFeCo2 (PBEsol)

Data for a geometry-optimized BaFeCo2 structure.

```
data_BaFeCo2
_space_group_name_H-M_alt 'R -3 m'
_space_group_IT_number 166
_space_group_name_Hall '-R 3 2"'
_cell_length_a 3.9982
_cell_length_b 3.9982
_cell_length_c 16.6853
_cell_angle_alpha 90.00
_cell_angle_beta 90.00
_cell_angle_gamma 120.00
loop_
_atom_site_label
_atom_site_type_symbol
_atom_site_fract_x
_atom_site_fract_y
_atom_site_fract_z
_atom_site_occupancy
Ba1 Ba 0.0000 0.0000 0.0000 1
Fe1 Fe 0.0000 0.0000 0.5000 1
Co1 Co 0.0000 0.0000 0.1855 1
```

Output
**Final energy**: -6.328 eV/atom
**Crystal system**: trigonal
**DOS(E_F)**: 13.6 states/eV per cell
**E above lowest polymorph**: 0.00 eV/f.u.
**E_form**: 319.0 meV/atom